Compound: HfAlI2O
Source: Alexandria
Functional: PBE-GGA
Structure: optimized geometry

Lattice parameters (Å, degrees): 5.8952 5.8952 3.9740 90.00 90.00 90.00
With the nearest neighbours (Å) after each atom.
Atoms (fractional coordinates):
I1 0.5000 0.0000 0.0000  2 Hf 2.95
I2 0.0000 0.5000 0.0000  2 Hf 2.95
Al1 0.5000 0.5000 0.5000  8 I 3.55, 2 Al 3.97
O1 0.0000 0.0000 0.5000  2 Hf 1.99
Hf1 0.0000 0.0000 0.0000  2 O 1.99

Computed properties:
polymorph energy (0 for the lowest one)	0	meV per atom
energy relative to the elements, uncorrected	-20.695	kcal/mol of atoms